ThSc4Al5: relaxed, PBE.

Cell: 3.397 3.397 17.774 Å, 90.00 90.00 90.00°
Sites, in units of the cell vectors:
Th (0.000, 0.000, 0.000)
Sc (0.000, 0.000, 0.217)
Sc (0.000, 0.000, 0.406)
Sc (0.000, 0.000, 0.594)
Sc (0.000, 0.000, 0.783)
Al (0.500, 0.500, 0.122)
Al (0.500, 0.500, 0.312)
Al (0.500, 0.500, 0.500)
Al (0.500, 0.500, 0.688)
Al (0.500, 0.500, 0.878)

Output
Space-group type: P4/mmm, No. 123
V: 205.1 Å³ per cell
Formation enthalpy at 0 K: -0.405 eV per atom